This record from Alexandria via LeMat-Bulk describes a relaxed LiPbW2 crystal. The functional is PBE.

Computed properties:
* calculated density: 13.9 Mg/m³
* total energy: -6.9011 eV/atom
* SG: P4/mmm

abc: 3.473 3.473 5.745
angles: 90.00 90.00 90.00
Element x y z (fractional)
Li (0.500, 0.500, 0.250)
W (0.000, 0.000, 0.040)
W (0.000, 0.000, 0.460)
Pb (0.500, 0.500, 0.750)


This record from Alexandria via LeMat-Bulk describes a relaxed Mg2Zr2Rh3 crystal. The functional is PBE.

Computed properties:
* calculated density: 6.9 Mg/m³
* total energy: -6.7012 eV/atom
* SG: P-1

abc: 4.605 4.605 7.606
angles: 89.86 107.48 120.20
Element x y z (fractional)
Mg (0.738, 0.870, 0.606)
Mg (0.262, 0.130, 0.394)
Rh (0.484, 0.741, 0.226)
Rh (0.000, 0.000, 0.000)
Rh (0.516, 0.259, 0.774)
Zr (0.233, 0.618, 0.850)
Zr (0.767, 0.382, 0.150)


This record from Alexandria via LeMat-Bulk describes a relaxed RhAuS2Br crystal. The functional is PBE.

Computed properties:
* calculated density: 6.6 Mg/m³
* total energy: -3.5948 eV/atom
* SG: P4/mmm

abc: 4.521 5.478 4.521
angles: 90.00 90.00 90.00
Element x y z (fractional)
S (0.500, 0.000, 0.000)
S (0.000, 0.000, 0.500)
Au (0.500, 0.500, 0.500)
Rh (0.000, 0.000, 0.000)
Br (0.000, 0.500, 0.000)


This record from Alexandria via LeMat-Bulk describes a relaxed MnBe2Re crystal. The functional is PBE.

Computed properties:
* calculated density: 10.3 Mg/m³
* total energy: -7.3791 eV/atom
* SG: Amm2

abc: 3.248 3.004 4.521
angles: 70.58 90.00 90.00
Each line ends with the local moment (μB).
Element x y z (fractional)
Mn (0.000, 0.473, 0.429)  2.12
Be (0.500, 0.054, 0.268)  -0.06
Be (0.000, 0.194, 0.986)  -0.03
Re (0.500, 0.779, 0.817)  -0.10


Which of these has the highest calculated density? LiPbW2


Among the records above, which one has the lowest calculated density? RhAuS2Br